! ScMnO3 | the Alexandria database | PBE with a Hubbard U | optimized geometry; values from VASP
! * E: -8.299 eV per atom
! * space group: No. 185
! * crystal system: hexagonal
&SYSTEM
  ibrav = 0, nat = 30, ntyp = 3
/
ATOMIC_SPECIES
Sc 44.96 Sc.upf
Mn 54.94 Mn.upf
O 16.00 O.upf
CELL_PARAMETERS angstrom
5.939 0.000 0.000
-2.970 5.143 0.000
0.000 0.000 11.292
ATOMIC_POSITIONS angstrom
Sc 0.000 0.000 3.096
Sc 0.000 0.000 8.742
Sc 0.000 3.429 2.598
Sc 2.970 1.714 8.244
Sc 0.000 3.429 8.244
Sc 2.970 1.714 2.598
Mn 1.977 0.000 0.001
Mn 0.989 1.712 5.646
Mn -1.981 3.431 5.646
Mn -0.989 1.712 0.001
Mn 1.981 3.431 0.001
Mn 3.962 0.000 5.646
O 2.970 1.714 0.317
O 0.000 3.429 5.963
O 2.970 1.714 5.963
O 0.000 3.429 0.317
O 0.000 0.000 10.915
O 0.000 0.000 5.269
O 2.173 0.000 9.391
O 1.086 1.882 3.745
O -1.883 3.262 3.745
O -1.086 1.882 9.391
O 1.883 3.262 9.391
O 3.766 0.000 3.745
O 1.796 0.000 1.913
O 0.898 1.555 7.559
O -2.072 3.588 7.559
O -0.898 1.555 1.913
O 2.072 3.588 1.913
O 4.143 0.000 7.559